# 1
Computed, not measured: a relaxed structure of Ce3Sm2PuN6 at the PBE-GGA level of DFT.

Summary:
* size of the total moment: 0.50 μB/atom
* total DFT energy (no corrections): -108.93 eV per cell
* raw formation energy: -1.451 eV per atom
* theoretical density: 9097 kg/m3

Cell lengths 6.167, 6.167, 6.167 Å; angles 99.61, 99.61, 119.99 degrees
Last column: magnetic moment on the atom in μB.
Atoms (fractional coordinates):
Ce  0.833  0.167  0.500  0.36
Ce  0.500  0.500  0.500  0.36
Ce  0.167  0.833  0.500  0.36
N  0.084  0.407  0.252  -0.07
N  0.239  0.239  0.747  -0.07
N  0.593  0.916  0.748  -0.07
N  0.761  0.761  0.253  -0.07
N  0.916  0.593  0.748  -0.07
N  0.407  0.084  0.252  -0.07
Sm  0.333  0.667  0.000  0.07
Sm  0.667  0.333  0.000  0.07
Pu  0.000  0.000  0.000  4.65

=====

# 2
Computed, not measured: a relaxed structure of Ac2MoN7 at the PBE-GGA level of DFT.

Summary:
* size of the total moment: 0.00 μB/atom
* total DFT energy (no corrections): -72.30 eV per cell
* raw formation energy: 0.503 eV per atom
* theoretical density: 8515 kg/m3

Cell lengths 5.633, 5.633, 5.633 Å; angles 60.00, 60.00, 60.00 degrees
Atoms (fractional coordinates):
Ac  0.250  0.250  0.250
Ac  0.750  0.750  0.750
N  0.748  0.252  0.252
N  0.252  0.748  0.252
N  0.252  0.252  0.748
N  0.748  0.748  0.252
N  0.500  0.500  0.500
N  0.748  0.252  0.748
N  0.252  0.748  0.748
Mo  0.000  0.000  0.000

=====

# 3
Computed, not measured: a relaxed structure of FeTeIr2Se at the PBE-GGA level of DFT.

Summary:
* size of the total moment: 0.68 μB/atom
* total DFT energy (no corrections): -27.74 eV per cell
* raw formation energy: 1.014 eV per atom
* theoretical density: 11088 kg/m3

Cell lengths 4.740, 4.311, 4.740 Å; angles 90.00, 90.00, 90.00 degrees
Last column: magnetic moment on the atom in μB.
Atoms (fractional coordinates):
Se  0.000  0.500  0.000  0.02
Ir  0.500  0.000  0.000  0.52
Ir  0.000  0.000  0.500  0.69
Fe  0.000  0.000  0.000  2.08
Te  0.500  0.500  0.500  0.00

=====

# 4
Computed, not measured: a relaxed structure of Nd12YSc3 at the PBE-GGA level of DFT.

Summary:
* size of the total moment: 0.00 μB/atom
* total DFT energy (no corrections): -82.17 eV per cell
* ΔH_f (0 K): 32 meV/atom
* theoretical density: 6193 kg/m3

Cell lengths 5.080, 5.080, 20.306 Å; angles 90.00, 90.00, 90.00 degrees
Atoms (fractional coordinates):
Nd  0.000  0.500  0.871
Nd  0.500  0.500  0.000
Nd  0.500  0.000  0.129
Nd  0.500  0.000  0.376
Nd  0.500  0.000  0.871
Nd  0.500  0.500  0.253
Nd  0.500  0.000  0.624
Nd  0.500  0.500  0.747
Nd  0.000  0.500  0.376
Nd  0.000  0.500  0.624
Nd  0.500  0.500  0.500
Nd  0.000  0.500  0.129
Sc  0.000  0.000  0.500
Sc  0.000  0.000  0.748
Sc  0.000  0.000  0.252
Y  0.000  0.000  0.000

=====

# 5
Computed, not measured: a relaxed structure of In2ReCl at the PBE-GGA level of DFT.

Summary:
* size of the total moment: 0.00 μB/atom
* total DFT energy (no corrections): -18.52 eV per cell
* raw formation energy: 0.312 eV per atom
* E above lowest polymorph: 40 meV/atom
* theoretical density: 9241 kg/m3

Cell lengths 5.630, 5.630, 5.079 Å; angles 90.03, 90.03, 30.25 degrees
Atoms (fractional coordinates):
Re  0.485  0.485  0.625
In  0.012  0.012  0.125
In  0.744  0.744  0.625
Cl  0.259  0.259  0.125

=====

# 6
Computed, not measured: a relaxed structure of LiPuNpRu at the PBE-GGA level of DFT.

Summary:
* size of the total moment: 0.43 μB/atom
* total DFT energy (no corrections): -38.04 eV per cell
* ΔH_f (0 K): 105 meV/atom
* theoretical density: 15027 kg/m3

Cell lengths 4.515, 4.515, 4.515 Å; angles 60.00, 60.00, 60.00 degrees
Last column: magnetic moment on the atom in μB.
Atoms (fractional coordinates):
Li  0.000  0.000  0.000  -0.01
Np  0.500  0.500  0.500  -1.97
Ru  0.750  0.750  0.750  0.04
Pu  0.250  0.250  0.250  3.69

=====

# 7
Computed, not measured: a relaxed structure of LaYTl2Rh at the PBE-GGA level of DFT.

Summary:
* size of the total moment: 0.00 μB/atom
* total DFT energy (no corrections): -21.23 eV per cell
* ΔH_f (0 K): 449 meV/atom
* theoretical density: 7092 kg/m3

Cell lengths 6.005, 4.803, 6.005 Å; angles 90.00, 90.00, 90.00 degrees
Atoms (fractional coordinates):
Y  0.500  0.500  0.500
Tl  0.000  0.000  0.500
Tl  0.500  0.000  0.000
La  0.000  0.000  0.000
Rh  0.000  0.500  0.000

=====

# 8
Computed, not measured: a relaxed structure of PrDyAu6 at the PBE-GGA level of DFT.

Summary:
* size of the total moment: 0.00 μB/atom
* total DFT energy (no corrections): -34.20 eV per cell
* ΔH_f (0 K): -644 meV/atom
* theoretical density: 14426 kg/m3

Cell lengths 4.747, 4.996, 8.563 Å; angles 86.86, 73.91, 61.64 degrees
Atoms (fractional coordinates):
Au  0.759  0.123  0.358
Au  0.502  0.243  0.753
Au  0.251  0.378  0.120
Au  0.749  0.622  0.880
Au  0.241  0.877  0.642
Au  0.498  0.757  0.247
Pr  0.000  0.500  0.500
Dy  0.000  0.000  0.000

=====

# 9
Computed, not measured: a relaxed structure of Pm2SmTh at the PBE-GGA level of DFT.

Summary:
* size of the total moment: 0.00 μB/atom
* total DFT energy (no corrections): -21.48 eV per cell
* ΔH_f (0 K): 39 meV/atom
* E above lowest polymorph: 16 meV/atom
* theoretical density: 8263 kg/m3

Cell lengths 3.640, 3.640, 11.775 Å; angles 90.00, 90.00, 119.99 degrees
Atoms (fractional coordinates):
Pm  0.466  0.534  0.248
Pm  0.466  0.534  0.752
Th  0.801  0.199  0.000
Sm  0.133  0.867  0.500

=====

# 10
Computed, not measured: a relaxed structure of HoZnPb at the PBE-GGA level of DFT.

Summary:
* size of the total moment: 0.00 μB/atom
* total DFT energy (no corrections): -10.20 eV per cell
* ΔH_f (0 K): -214 meV/atom
* theoretical density: 9508 kg/m3

Cell lengths 4.763, 4.763, 4.763 Å; angles 60.00, 60.00, 60.00 degrees
Atoms (fractional coordinates):
Ho  0.500  0.500  0.500
Zn  0.250  0.250  0.250
Pb  0.000  0.000  0.000

=====

# 11
Computed, not measured: a relaxed structure of Cr2RuC at the PBE-GGA level of DFT.

Summary:
* size of the total moment: 0.00 μB/atom
* total DFT energy (no corrections): -36.55 eV per cell
* ΔH_f (0 K): 298 meV/atom
* theoretical density: 7771 kg/m3

Cell lengths 2.804, 2.804, 7.001 Å; angles 78.45, 78.45, 60.00 degrees
Atoms (fractional coordinates):
Cr  0.114  0.114  0.658
Cr  0.886  0.886  0.342
Ru  0.000  0.000  0.000
C  0.500  0.500  0.500

=====

# 12
Computed, not measured: a relaxed structure of InPO2F at the PBE-GGA level of DFT.

Summary:
* size of the total moment: 0.00 μB/atom
* total DFT energy (no corrections): -24.85 eV per cell
* raw formation energy: -0.982 eV per atom
* theoretical density: 4971 kg/m3

Cell lengths 3.560, 3.560, 5.187 Å; angles 90.00, 90.00, 90.00 degrees
Atoms (fractional coordinates):
In  0.500  0.500  0.500
O  0.500  0.000  0.000
O  0.000  0.500  0.000
F  0.000  0.000  0.500
P  0.000  0.000  0.000

=====

# 13
Computed, not measured: a relaxed structure of PrZr3Sb2 at the PBE-GGA level of DFT.

Summary:
* size of the total moment: 0.00 μB/atom
* total DFT energy (no corrections): -84.08 eV per cell
* raw formation energy: -0.562 eV per atom
* theoretical density: 6734 kg/m3

Cell lengths 4.093, 9.802, 9.702 Å; angles 120.74, 90.00, 102.05 degrees
Atoms (fractional coordinates):
Zr  0.396  0.792  0.296
Zr  0.604  0.208  0.704
Zr  0.952  0.903  0.579
Zr  0.682  0.365  0.460
Zr  0.318  0.635  0.540
Zr  0.048  0.097  0.421
Sb  0.224  0.448  0.722
Sb  0.490  0.980  0.827
Sb  0.776  0.552  0.278
Sb  0.510  0.020  0.173
Pr  0.877  0.754  0.902
Pr  0.123  0.246  0.098

=====

# 14
Computed, not measured: a relaxed structure of Zn2AsP at the PBE-GGA level of DFT.

Summary:
* size of the total moment: 0.00 μB/atom
* total DFT energy (no corrections): -11.75 eV per cell
* ΔH_f (0 K): 215 meV/atom
* E above lowest polymorph: 160 meV/atom
* theoretical density: 5543 kg/m3

Cell lengths 3.762, 3.762, 5.010 Å; angles 90.00, 90.00, 90.00 degrees
Atoms (fractional coordinates):
Zn  0.500  0.500  0.000
Zn  0.000  0.000  0.000
P  0.500  0.500  0.500
As  0.000  0.000  0.500

=====

# 15
Computed, not measured: a relaxed structure of Sc2OF2 at the PBE-GGA level of DFT.

Summary:
* size of the total moment: 0.00 μB/atom
* total DFT energy (no corrections): -72.92 eV per cell
* raw formation energy: -3.019 eV per atom
* theoretical density: 3146 kg/m3

Cell lengths 6.107, 6.107, 4.074 Å; angles 90.00, 90.00, 90.00 degrees
Atoms (fractional coordinates):
Sc  0.253  0.247  0.000
Sc  0.747  0.753  0.000
Sc  0.247  0.747  0.000
Sc  0.753  0.253  0.000
F  0.256  0.244  0.500
F  0.756  0.256  0.500
F  0.744  0.756  0.500
F  0.244  0.744  0.500
O  0.000  0.000  0.000
O  0.500  0.500  0.000

=====

# 16
Computed, not measured: a relaxed structure of Nd2TmMnS5 at the PBE-GGA level of DFT.

Summary:
* size of the total moment: 0.49 μB/atom
* total DFT energy (no corrections): -118.63 eV per cell
* raw formation energy: -1.723 eV per atom
* theoretical density: 5778 kg/m3

Cell lengths 3.914, 8.487, 11.963 Å; angles 90.00, 90.00, 103.33 degrees
Last column: magnetic moment on the atom in μB.
Atoms (fractional coordinates):
S  0.690  0.379  0.862  0.03
S  0.310  0.621  0.362  0.03
S  0.348  0.695  0.016  0.02
S  0.979  0.958  0.526  0.06
S  0.652  0.305  0.516  0.02
S  0.494  0.987  0.755  0.04
S  0.700  0.400  0.180  0.02
S  0.021  0.042  0.026  0.06
S  0.300  0.600  0.680  0.02
S  0.506  0.013  0.255  0.04
Nd  0.118  0.236  0.691  -0.03
Nd  0.882  0.764  0.191  -0.03
Nd  0.877  0.755  0.841  0.02
Nd  0.123  0.245  0.341  0.02
Tm  0.186  0.372  0.024  0.01
Tm  0.814  0.628  0.524  0.01
Mn  0.449  0.897  0.429  3.73
Mn  0.551  0.103  0.929  3.73

=====

# 17
Computed, not measured: a relaxed structure of CdInSnSb at the PBE-GGA level of DFT.

Summary:
* size of the total moment: 0.00 μB/atom
* total DFT energy (no corrections): -11.27 eV per cell
* raw formation energy: 0.127 eV per atom
* theoretical density: 7132 kg/m3

Cell lengths 5.360, 5.360, 5.360 Å; angles 60.00, 60.00, 60.00 degrees
Atoms (fractional coordinates):
Sn  0.000  0.000  0.000
Cd  0.750  0.750  0.750
Sb  0.250  0.250  0.250
In  0.500  0.500  0.500

=====

# 18
Computed, not measured: a relaxed structure of ZnSb2CI at the PBE-GGA level of DFT.

Summary:
* size of the total moment: 0.25 μB/atom
* total DFT energy (no corrections): -11.32 eV per cell
* raw formation energy: 1.794 eV per atom
* E above lowest polymorph: 688 meV/atom
* theoretical density: 4917 kg/m3

Cell lengths 5.251, 5.251, 5.484 Å; angles 90.00, 90.00, 90.00 degrees
Last column: magnetic moment on the atom in μB.
Atoms (fractional coordinates):
I  0.000  0.000  0.500  0.04
Sb  0.000  0.500  0.000  -0.12
Sb  0.500  0.000  0.000  -0.12
C  0.500  0.500  0.500  0.86
Zn  0.000  0.000  0.000  -0.01

=====

# 19
Computed, not measured: a relaxed structure of Cs3SrLa2Te6 at the PBE-GGA level of DFT.

Summary:
* size of the total moment: 0.00 μB/atom
* total DFT energy (no corrections): -49.47 eV per cell
* raw formation energy: -1.377 eV per atom
* theoretical density: 4733 kg/m3

Cell lengths 8.321, 8.321, 9.369 Å; angles 98.50, 98.50, 120.00 degrees
Atoms (fractional coordinates):
Te  0.721  0.721  0.197
Te  0.934  0.589  0.802
Te  0.589  0.934  0.802
Te  0.279  0.279  0.803
Te  0.066  0.411  0.198
Te  0.411  0.066  0.198
Cs  0.164  0.836  0.500
Cs  0.836  0.164  0.500
Cs  0.500  0.500  0.500
La  0.333  0.667  0.000
La  0.667  0.333  0.000
Sr  0.000  0.000  0.000

=====

# 20
Computed, not measured: a relaxed structure of Y6HoEr8 at the PBE-GGA level of DFT.

Summary:
* size of the total moment: 0.00 μB/atom
* total DFT energy (no corrections): -78.01 eV per cell
* ΔH_f (0 K): 124 meV/atom
* E above lowest polymorph: 0 meV/atom
* theoretical density: 7067 kg/m3

Cell lengths 8.998, 8.998, 8.577 Å; angles 58.36, 58.36, 60.00 degrees
Atoms (fractional coordinates):
Y  0.890  0.774  0.877
Y  0.774  0.459  0.877
Y  0.226  0.541  0.123
Y  0.459  0.890  0.877
Y  0.110  0.226  0.123
Y  0.541  0.110  0.123
Er  0.424  0.424  0.728
Er  0.279  0.890  0.574
Er  0.256  0.279  0.574
Er  0.744  0.721  0.426
Er  0.721  0.110  0.426
Er  0.110  0.744  0.426
Er  0.576  0.576  0.272
Er  0.890  0.256  0.574
Ho  0.000  0.000  0.000

=====

# 21
Computed, not measured: a relaxed structure of GaGeI2 at the PBE-GGA level of DFT.

Summary:
* size of the total moment: 0.00 μB/atom
* total DFT energy (no corrections): -10.55 eV per cell
* raw formation energy: 0.048 eV per atom
* E above lowest polymorph: 0 meV/atom
* theoretical density: 5181 kg/m3

Cell lengths 4.053, 4.053, 9.227 Å; angles 77.31, 77.31, 60.00 degrees
Atoms (fractional coordinates):
I  0.744  0.744  0.768
I  0.256  0.256  0.232
Ga  0.500  0.500  0.500
Ge  0.000  0.000  0.000

=====

# 22
Computed, not measured: a relaxed structure of BC2 at the PBE-GGA level of DFT.

Summary:
* size of the total moment: 0.00 μB/atom
* total DFT energy (no corrections): -96.38 eV per cell
* ΔH_f (0 K): 343 meV/atom
* E above lowest polymorph: 103 meV/atom
* theoretical density: 3043 kg/m3

Cell lengths 7.003, 7.035, 7.035 Å; angles 158.81, 142.54, 43.46 degrees
Atoms (fractional coordinates):
C  0.985  0.661  0.324
C  0.524  0.841  0.684
C  0.129  0.466  0.663
C  0.627  0.960  0.667
C  0.997  0.998  0.999
C  0.503  0.501  0.002
C  0.629  0.624  0.005
C  0.511  0.163  0.348
B  0.563  0.283  0.280
B  0.010  0.345  0.665
B  0.132  0.128  0.005
B  0.140  0.781  0.359

=====

# 23
Computed, not measured: a relaxed structure of Hf2B2Ru at the PBE-GGA level of DFT.

Summary:
* size of the total moment: 0.00 μB/atom
* total DFT energy (no corrections): -93.59 eV per cell
* ΔH_f (0 K): -852 meV/atom
* theoretical density: 12350 kg/m3

Cell lengths 6.123, 6.123, 3.441 Å; angles 90.00, 90.00, 90.00 degrees
Atoms (fractional coordinates):
Hf  0.681  0.819  0.500
Hf  0.181  0.681  0.500
Hf  0.819  0.319  0.500
Hf  0.319  0.181  0.500
B  0.393  0.893  0.000
B  0.607  0.107  0.000
B  0.893  0.607  0.000
B  0.107  0.393  0.000
Ru  0.500  0.500  0.000
Ru  0.000  0.000  0.000

=====

# 24
Computed, not measured: a relaxed structure of Cs2NaY at the PBE-GGA level of DFT.

Summary:
* size of the total moment: 0.00 μB/atom
* total DFT energy (no corrections): -13.48 eV per cell
* ΔH_f (0 K): 687 meV/atom
* E above lowest polymorph: 41 meV/atom
* theoretical density: 2602 kg/m3

Cell lengths 8.743, 8.743, 8.743 Å; angles 101.93, 101.93, 125.90 degrees
Atoms (fractional coordinates):
Na  0.750  0.250  0.500
Na  0.500  0.500  0.000
Cs  0.851  0.875  0.476
Cs  0.399  0.375  0.524
Cs  0.125  0.601  0.976
Cs  0.625  0.149  0.024
Y  0.250  0.750  0.500
Y  0.000  0.000  0.000